Model w:
Entry from Alexandria via LeMat-Bulk: a relaxed HfCoSbI2 crystal (PBE-GGA).

- DOS at the Fermi energy: 7.62 states/eV/cell
- Mass density: 5.704 g/cm³

Cell: 5.568 5.568 5.755 Å, 90.00 90.00 90.00°
Site moments in Bohr magnetons follow the coordinates.
Element x y z (fractional)
Hf  0.000  0.000  0.000  0.09
I  0.500  0.000  0.000  0.00
Co  0.500  0.500  0.500  2.38
Sb  0.000  0.000  0.500  -0.06
I  0.000  0.500  0.000  0.00


Model x:
Entry from Alexandria via LeMat-Bulk: a relaxed HfCoSbI2 crystal (PBE-GGA).

- DOS at the Fermi energy: 5.35 states/eV/cell
- Mass density: 7.883 g/cm³

Cell: 5.024 5.024 5.116 Å, 90.00 90.00 90.00°
Site moments in Bohr magnetons follow the coordinates.
Element x y z (fractional)
I  0.500  0.000  0.000  0.01
Hf  0.500  0.500  0.500  0.03
I  0.000  0.500  0.000  0.01
Sb  0.000  0.000  0.500  0.00
Co  0.000  0.000  0.000  0.24


The winner here is model x, beating the second structure by 0.042 eV/atom.


Model w:
Entry from Alexandria via LeMat-Bulk: a relaxed Hf2In2Co crystal (PBE-GGA).

- DOS at the Fermi energy: 5.66 states/eV/cell
- Mass density: 10.602 g/cm³

Cell: 6.793 6.793 4.382 Å, 90.00 90.00 90.00°
Site moments in Bohr magnetons follow the coordinates.
Element x y z (fractional)
Hf  0.334  0.166  0.500  -0.03
Co  0.000  0.000  0.000  1.05
In  0.855  0.645  0.000  -0.02
Hf  0.666  0.834  0.500  -0.03
Hf  0.834  0.334  0.500  -0.03
In  0.145  0.355  0.000  -0.02
Co  0.500  0.500  0.000  1.06
Hf  0.166  0.666  0.500  -0.03
In  0.645  0.145  0.000  -0.02
In  0.355  0.855  0.000  -0.02


Model x:
Entry from Alexandria via LeMat-Bulk: a relaxed Hf2In2Co crystal (PBE-GGA).

- DOS at the Fermi energy: 7.78 states/eV/cell
- Mass density: 9.957 g/cm³

Cell: 6.572 6.572 4.985 Å, 90.00 90.00 90.00°
Element x y z (fractional)
In  0.840  0.340  0.500
Hf  0.837  0.663  0.000
Hf  0.337  0.837  0.000
Co  0.500  0.500  0.000
In  0.660  0.840  0.500
Hf  0.163  0.337  0.000
In  0.160  0.660  0.500
Co  0.000  0.000  0.000
In  0.340  0.160  0.500
Hf  0.663  0.163  0.000


The winner here is model w, beating the second structure by 0.033 eV/atom.


Model w:
Entry from Alexandria via LeMat-Bulk: a relaxed HfIn3Co crystal (PBE-GGA).

- DOS at the Fermi energy: 5.18 states/eV/cell
- Mass density: 5.744 g/cm³

Cell: 5.520 5.520 5.520 Å, 90.00 90.00 90.00°
Site moments in Bohr magnetons follow the coordinates.
Element x y z (fractional)
In  0.000  0.000  0.500  -0.03
In  0.000  0.500  0.000  -0.05
Hf  0.000  0.000  0.000  -0.20
In  0.500  0.000  0.000  -0.02
Co  0.500  0.500  0.500  2.18


Model x:
Entry from Alexandria via LeMat-Bulk: a relaxed HfIn3Co crystal (PBE-GGA).

- DOS at the Fermi energy: 7.56 states/eV/cell
- Mass density: 8.508 g/cm³

Cell: 4.843 4.843 4.843 Å, 90.00 90.00 90.00°
Element x y z (fractional)
In  0.000  0.500  0.000
In  0.500  0.000  0.000
Co  0.000  0.000  0.000
In  0.000  0.000  0.500
Hf  0.500  0.500  0.500


The winner here is model x, beating the second structure by 0.856 eV/atom.


Model w:
Entry from Alexandria via LeMat-Bulk: a relaxed Hf2CoIr crystal (PBE-GGA).

- DOS at the Fermi energy: 7.13 states/eV/cell
- Mass density: 14.830 g/cm³

Cell: 3.148 4.387 10.331 Å, 89.99 107.36 90.00°
Site moments in Bohr magnetons follow the coordinates.
Element x y z (fractional)
Co  0.413  0.250  0.157  0.07
Co  0.587  0.750  0.843  0.07
Ir  0.586  0.750  0.334  0.00
Hf  0.857  0.750  0.101  -0.01
Ir  0.414  0.250  0.666  0.00
Hf  0.139  0.250  0.388  0.00
Hf  0.143  0.250  0.899  -0.01
Hf  0.861  0.750  0.612  0.00


Model x:
Entry from Alexandria via LeMat-Bulk: a relaxed Hf2CoIr crystal (PBE-GGA).

- DOS at the Fermi energy: 4.64 states/eV/cell
- Mass density: 14.985 g/cm³

Cell: 4.568 4.568 4.568 Å, 60.00 60.00 60.00°
Site moments in Bohr magnetons follow the coordinates.
Element x y z (fractional)
Ir  0.500  0.500  0.500  0.15
Co  0.000  0.000  0.000  1.12
Hf  0.750  0.750  0.750  0.00
Hf  0.250  0.250  0.250  0.00


Model y:
Entry from Alexandria via LeMat-Bulk: a relaxed Hf2CoIr crystal (PBE-GGA).

- DOS at the Fermi energy: 3.40 states/eV/cell
- Mass density: 14.973 g/cm³

Cell: 3.270 4.541 4.541 Å, 90.00 90.00 90.00°
Site moments in Bohr magnetons follow the coordinates.
Element x y z (fractional)
Hf  0.000  0.500  0.000  -0.01
Hf  0.000  0.000  0.500  -0.01
Ir  0.500  0.000  0.000  0.10
Co  0.500  0.500  0.500  1.14


Model z:
Entry from Alexandria via LeMat-Bulk: a relaxed Hf2CoIr crystal (PBE-GGA).

- DOS at the Fermi energy: 4.27 states/eV/cell
- Mass density: 14.243 g/cm³

Cell: 6.993 6.993 5.732 Å, 52.41 52.41 90.00°
Element x y z (fractional)
Co  0.500  0.500  0.000
Ir  0.750  0.250  0.500
Hf  0.375  0.390  0.750
Hf  0.875  0.860  0.750
Co  0.250  0.750  0.500
Hf  0.610  0.125  0.250
Hf  0.140  0.625  0.250
Ir  0.000  0.000  0.000


The winner here is model x, beating the second structure by 0.010 eV/atom.


Model w:
Entry from Alexandria via LeMat-Bulk: a relaxed Hf6Co2Ir crystal (PBE-GGA).

- DOS at the Fermi energy: 16.09 states/eV/cell
- Mass density: 13.750 g/cm³

Cell: 7.578 7.578 7.578 Å, 105.19 112.01 111.30°
Element x y z (fractional)
Hf  0.700  0.330  0.030
Hf  0.806  0.570  0.764
Ir  0.000  0.000  0.000
Co  0.655  0.655  0.000
Hf  0.521  0.815  0.706
Hf  0.806  0.042  0.236
Co  0.500  0.866  0.366
Hf  0.890  0.185  0.706
Hf  0.110  0.815  0.294
Hf  0.300  0.670  0.970
Hf  0.479  0.185  0.294
Hf  0.194  0.958  0.764
Hf  0.300  0.330  0.631
Co  0.500  0.134  0.634
Co  0.345  0.345  0.000
Ir  0.000  0.500  0.500
Hf  0.700  0.670  0.369
Hf  0.194  0.430  0.236


Model x:
Entry from Alexandria via LeMat-Bulk: a relaxed Hf6Co2Ir crystal (PBE-GGA).

- DOS at the Fermi energy: 16.42 states/eV/cell
- Mass density: 13.279 g/cm³

Cell: 5.562 6.899 9.002 Å, 90.00 89.54 90.00°
Element x y z (fractional)
Hf  0.177  0.073  0.761
Hf  0.830  0.645  0.557
Hf  0.823  0.927  0.239
Co  0.096  0.599  0.221
Hf  0.141  0.281  0.075
Ir  0.000  0.000  0.500
Hf  0.677  0.427  0.261
Co  0.904  0.401  0.779
Hf  0.670  0.145  0.943
Hf  0.323  0.573  0.739
Hf  0.330  0.855  0.057
Co  0.404  0.099  0.279
Hf  0.859  0.719  0.925
Hf  0.359  0.781  0.425
Co  0.596  0.901  0.721
Ir  0.500  0.500  0.000
Hf  0.170  0.355  0.443
Hf  0.641  0.219  0.575


The winner here is model w, beating the second structure by 0.194 eV/atom.


Model w:
Entry from Alexandria via LeMat-Bulk: a relaxed HfCoIr crystal (PBE-GGA).

- DOS at the Fermi energy: 5.50 states/eV/cell
- Mass density: 15.501 g/cm³

Cell: 4.124 5.341 5.341 Å, 100.66 67.29 67.29°
Site moments in Bohr magnetons follow the coordinates.
Element x y z (fractional)
Hf  0.000  0.813  0.187  -0.11
Ir  0.246  0.254  0.254  0.18
Hf  0.000  0.187  0.813  -0.11
Co  0.500  0.366  0.634  0.81
Ir  0.754  0.746  0.746  0.18
Co  0.500  0.634  0.366  0.81


Model x:
Entry from Alexandria via LeMat-Bulk: a relaxed HfCoIr crystal (PBE-GGA).

- DOS at the Fermi energy: 6.36 states/eV/cell
- Mass density: 15.695 g/cm³

Cell: 4.906 5.038 5.038 Å, 62.72 60.86 60.86°
Element x y z (fractional)
Ir  0.500  0.000  0.500
Co  0.500  0.000  0.000
Co  0.000  0.000  0.000
Ir  0.500  0.500  0.000
Hf  0.120  0.630  0.630
Hf  0.880  0.370  0.370


The winner here is model x, beating the second structure by 0.171 eV/atom.